# Tl2CrBiO

Crystalline Tl2CrBiO at its relaxed geometry (PBE+U, Alexandria via LeMat-Bulk).

Cell and atoms, written as CIF:
```
data_Tl2CrBiO
_chemical_formula_sum 'Tl2 Cr1 Bi1 O1'
_cell_length_a 6.145
_cell_length_b 6.145
_cell_length_c 4.370
_cell_angle_alpha 90.00
_cell_angle_beta 90.00
_cell_angle_gamma 90.00
_space_group_name_H-M_alt 'P 1'
_space_group_IT_number 1
loop_
_space_group_symop_operation_xyz
'x,y,z'
loop_
_atom_site_label
_atom_site_fract_x
_atom_site_fract_y
_atom_site_fract_z
Tl1 0.000 0.500 0.000
Tl2 0.500 0.000 0.000
Cr1 0.000 0.000 0.500
Bi1 0.500 0.500 0.000
O1 0.500 0.500 0.500
```

Properties
Total DFT energy (no corrections): -3.86 eV per atom